Below is crystalline K2TlHg5Pd at its relaxed geometry, with properties calculated at the GGA-PBE level.

Values from the calculation:
Volume   29.68 Å³ per atom
Formation energy   -1.7 eV/f.u.
SG   I4mm

Unit cell a=7.1682 b=7.1682 c=7.1682 alpha=93.16 beta=118.19 gamma=118.19
Last column: nearest neighbours and their distance in Å.
Fractional coordinates of all 9 atoms:
K 0.5000 0.2558 0.7558  10 Hg 3.58-3.69, 2 Tl 3.71
K 0.5000 0.7558 0.2558  10 Hg 3.58-3.69, 2 Tl 3.71
Tl 0.0000 0.7083 0.7083  1 Pd 2.76
Hg 0.5312 0.2698 0.2698  1 Pd 2.77
Hg 0.4688 0.7386 0.7386  1 Pd 2.77
Hg 0.0000 0.7386 0.2698  1 Pd 2.77
Hg 0.0000 0.2698 0.7386  1 Pd 2.77
Hg 0.0000 0.2748 0.2748  1 Pd 2.82
Pd 0.0000 0.9883 0.9883  1 Tl 2.76, 5 Hg 2.77-2.82